No. 1
Material: Pr2BeGaRh6
Method: DFT, PBE
State: relaxed

Unit cell a=6.315 b=6.314 c=6.313 alpha=59.99 beta=59.99 gamma=89.98
Atoms (fractional coordinates):
Pr (0.750, 0.250, 0.500)
Pr (0.250, 0.750, 0.500)
Be (0.500, 0.500, 0.000)
Ga (0.000, 0.000, 0.000)
Rh (0.264, 0.264, 0.471)
Rh (0.736, 0.736, 0.000)
Rh (0.264, 0.736, 0.000)
Rh (0.736, 0.264, 0.000)
Rh (0.264, 0.264, 0.000)
Rh (0.736, 0.736, 0.529)

Calculated formation energy   -0.41 eV per atom

---

No. 2
Material: CoTeAs2
Method: DFT, PBE
State: relaxed

Unit cell a=3.639 b=4.920 c=4.922 alpha=59.94 beta=90.00 gamma=90.00
Atoms (fractional coordinates):
As (0.000, 0.065, 0.065)
As (0.000, 0.435, 0.435)
Co (0.500, 0.250, 0.250)
Te (0.500, 0.750, 0.750)

ΔE_f (raw)   -0.002 eV/atom

---

No. 3
Material: LaOsBr2
Method: DFT, PBE
State: relaxed

Unit cell a=5.948 b=5.948 c=5.948 alpha=138.33 beta=138.33 gamma=60.40
Last column: magnetic moment on the atom in μB.
Atoms (fractional coordinates):
Os (0.750, 0.250, 0.500)  0.95
Br (0.000, 0.000, 0.000)  0.02
Br (0.250, 0.750, 0.500)  0.01
La (0.500, 0.500, 0.000)  -0.05

ΔE_f (raw)   0.087 eV/atom
Energy relative to the lowest polymorph listed for this composition   568 meV/atom

---

No. 4
Material: NbZnP2Cl
Method: DFT, PBE
State: relaxed

Unit cell a=4.859 b=4.859 c=4.925 alpha=90.00 beta=90.00 gamma=90.00
Atoms (fractional coordinates):
P (0.000, 0.500, 0.000)
P (0.500, 0.000, 0.000)
Nb (0.000, 0.000, 0.000)
Zn (0.500, 0.500, 0.500)
Cl (0.000, 0.000, 0.500)

ΔE_f (raw)   0.136 eV/atom
Energy relative to the lowest polymorph listed for this composition   0 meV/atom

---

No. 5
Material: AlAsIO2
Method: DFT, PBE
State: relaxed

Unit cell a=3.998 b=3.998 c=5.978 alpha=90.00 beta=90.00 gamma=90.00
Atoms (fractional coordinates):
I (0.000, 0.000, 0.500)
As (0.000, 0.000, 0.000)
Al (0.500, 0.500, 0.500)
O (0.000, 0.500, 0.000)
O (0.500, 0.000, 0.000)

ΔE_f (raw)   -0.070 eV/atom
Energy relative to the lowest polymorph listed for this composition   508 meV/atom

---

No. 6
Material: Ac8Ir3PtSe3
Method: DFT, PBE
State: relaxed

Unit cell a=8.735 b=8.735 c=9.103 alpha=118.67 beta=90.00 gamma=120.00
Atoms (fractional coordinates):
Ac (0.259, 0.518, 0.277)
Ac (0.741, 0.482, 0.723)
Ac (0.759, 0.518, 0.280)
Ac (0.241, 0.482, 0.720)
Ac (0.759, 0.021, 0.280)
Ac (0.241, 0.979, 0.720)
Ac (0.262, 0.021, 0.280)
Ac (0.738, 0.979, 0.720)
Ir (0.500, 0.000, 0.500)
Ir (0.500, 0.500, 0.500)
Ir (0.000, 0.500, 0.500)
Pt (0.000, 0.000, 0.500)
Se (0.000, 0.000, 0.000)
Se (0.000, 0.500, 0.000)
Se (0.500, 0.500, 0.000)

ΔE_f (raw)   -1.181 eV/atom

---

No. 7
Material: SmInRu
Method: DFT, PBE
State: relaxed

Unit cell a=4.111 b=6.109 c=6.648 alpha=117.35 beta=108.01 gamma=90.00
Atoms (fractional coordinates):
Sm (0.286, 0.286, 0.572)
Sm (0.714, 0.714, 0.428)
In (0.000, 0.252, 0.000)
In (0.000, 0.748, 0.000)
Ru (0.613, 0.113, 0.226)
Ru (0.387, 0.887, 0.774)

Calculated formation energy   -0.21 eV per atom

---

No. 8
Material: LiNiHg2
Method: DFT, PBE
State: relaxed

Unit cell a=3.062 b=4.010 c=5.711 alpha=90.00 beta=90.00 gamma=90.00
Atoms (fractional coordinates):
Hg (0.000, 0.000, 0.947)
Hg (0.500, 0.500, 0.290)
Li (0.000, 0.000, 0.500)
Ni (0.500, 0.500, 0.764)

Calculated formation energy   0.01 eV per atom

---

No. 9
Material: Ce3InHg5
Method: DFT, PBE
State: relaxed

Unit cell a=8.550 b=8.550 c=9.051 alpha=118.18 beta=118.18 gamma=90.00
Last column: magnetic moment on the atom in μB.
Atoms (fractional coordinates):
Ce (0.610, 0.110, 0.000)  0.76
Ce (0.390, 0.890, 0.000)  0.76
Ce (0.890, 0.610, 0.000)  0.76
Ce (0.110, 0.390, 0.000)  0.76
Ce (0.250, 0.250, 0.500)  1.02
Ce (0.750, 0.750, 0.500)  1.02
In (0.750, 0.250, 0.500)  0.00
In (0.250, 0.750, 0.500)  0.00
Hg (0.057, 0.557, 0.713)  0.00
Hg (0.656, 0.156, 0.713)  0.00
Hg (0.156, 0.057, 0.713)  0.00
Hg (0.557, 0.656, 0.713)  0.00
Hg (0.943, 0.443, 0.287)  0.00
Hg (0.344, 0.844, 0.287)  0.00
Hg (0.844, 0.943, 0.287)  0.00
Hg (0.443, 0.344, 0.287)  0.00
Hg (0.500, 0.500, 0.000)  0.00
Hg (0.000, 0.000, 0.000)  0.00

Calculated formation energy   -0.22 eV per atom
Energy relative to the lowest polymorph listed for this composition   126 meV/atom

---

No. 10
Material: MnAgSn3
Method: DFT, PBE
State: relaxed

Unit cell a=5.405 b=5.405 c=5.405 alpha=90.00 beta=90.00 gamma=90.00
Last column: magnetic moment on the atom in μB.
Atoms (fractional coordinates):
Mn (0.500, 0.500, 0.500)  4.38
Sn (0.000, 0.500, 0.000)  -0.05
Sn (0.000, 0.000, 0.500)  -0.05
Sn (0.500, 0.000, 0.000)  -0.04
Ag (0.000, 0.000, 0.000)  -0.03

Calculated formation energy   0.78 eV per atom
Energy relative to the lowest polymorph listed for this composition   517 meV/atom

---

No. 11
Material: BaZrTc
Method: DFT, PBE
State: relaxed

Unit cell a=3.512 b=3.512 c=7.544 alpha=90.00 beta=90.00 gamma=120.00
Atoms (fractional coordinates):
Ba (0.000, 0.000, 0.035)
Tc (0.667, 0.333, 0.371)
Zr (0.333, 0.667, 0.594)

Calculated formation energy   0.59 eV per atom
Energy relative to the lowest polymorph listed for this composition   226 meV/atom

---

No. 12
Material: Tm2BeCuPt6
Method: DFT, PBE
State: relaxed

Unit cell a=5.512 b=7.666 c=7.666 alpha=42.14 beta=68.93 gamma=90.00
Atoms (fractional coordinates):
Tm (0.703, 0.297, 0.593)
Tm (0.297, 0.703, 0.407)
Be (0.500, 0.500, 0.000)
Cu (0.000, 0.000, 0.000)
Pt (0.258, 0.238, 0.484)
Pt (0.762, 0.742, 0.980)
Pt (0.258, 0.742, 0.980)
Pt (0.742, 0.258, 0.020)
Pt (0.238, 0.258, 0.020)
Pt (0.742, 0.762, 0.516)

Calculated formation energy   -0.75 eV per atom